(1)
{"formula": "BaNaLaS3", "functional": "PBE", "state": "optimized geometry", "lattice": [[8.9044, 0.0000, 0.0000], [0.0000, 4.3365, 0.0000], [-2.1637, 0.0000, 8.9914]], "species": ["Ba", "Ba", "Na", "Na", "La", "La", "S", "S", "S", "S", "S", "S"], "fractional_positions": [[0.1957, 0.2500, 0.2292], [0.8043, 0.7500, 0.7708], [0.0895, 0.2500, 0.5830], [0.9105, 0.7500, 0.4170], [0.3325, 0.7500, 0.8333], [0.6675, 0.2500, 0.1667], [0.1210, 0.2500, 0.8729], [0.2269, 0.7500, 0.5087], [0.4429, 0.7500, 0.1555], [0.5571, 0.2500, 0.8445], [0.7731, 0.2500, 0.4913], [0.8790, 0.7500, 0.1271]], "e_form_raw_ev_per_fu": -10.821, "spacegroup": "P2_1/m, No. 11"}



(2)
{"formula": "Ac6NdO12", "functional": "PBE", "state": "optimized geometry", "lattice": [[5.5128, 3.1828, 3.4286], [-5.5128, 3.1828, 3.4286], [0.0000, -6.3656, 3.4286]], "species": ["Ac", "Ac", "Ac", "Ac", "Ac", "Ac", "Nd", "O", "O", "O", "O", "O", "O", "O", "O", "O", "O", "O", "O"], "fractional_positions": [[0.1041, 0.6378, 0.7931], [0.2069, 0.8959, 0.3622], [0.3622, 0.2069, 0.8959], [0.6378, 0.7931, 0.1041], [0.7931, 0.1041, 0.6378], [0.8959, 0.3622, 0.2069], [0.5000, 0.5000, 0.5000], [0.0585, 0.3235, 0.9120], [0.0880, 0.9415, 0.6765], [0.1845, 0.5650, 0.4385], [0.3235, 0.9120, 0.0585], [0.4350, 0.5615, 0.8155], [0.4385, 0.1845, 0.5650], [0.5615, 0.8155, 0.4350], [0.5650, 0.4385, 0.1845], [0.6765, 0.0880, 0.9415], [0.8155, 0.4350, 0.5615], [0.9120, 0.0585, 0.3235], [0.9415, 0.6765, 0.0880]], "e_form_raw_ev_per_fu": -57.284, "spacegroup": "R-3, No. 148"}



(3)
{"formula": "HoHgPb6", "functional": "PBE", "state": "optimized geometry", "lattice": [[4.7644, -4.7699, 0.0000], [4.7644, 4.7699, 0.0000], [0.0000, 0.0000, 5.2184]], "species": ["Ho", "Hg", "Pb", "Pb", "Pb", "Pb", "Pb", "Pb"], "fractional_positions": [[0.0000, 0.0000, 0.0000], [0.5000, 0.5000, 0.0000], [0.0000, 0.5000, 0.0000], [0.2502, 0.7498, 0.5000], [0.2515, 0.2515, 0.5000], [0.5000, 0.0000, 0.0000], [0.7485, 0.7485, 0.5000], [0.7498, 0.2502, 0.5000]], "delta_e_f_mev_per_atom": -87, "spacegroup": "Cmmm, No. 65"}



(4)
{"formula": "Pr6NdTm6", "functional": "PBE", "state": "optimized geometry", "lattice": [[6.7449, 0.0000, 0.0000], [-3.3725, 5.8413, 0.0000], [0.0000, 0.0000, 11.4858]], "species": ["Pr", "Pr", "Pr", "Pr", "Pr", "Pr", "Nd", "Tm", "Tm", "Tm", "Tm", "Tm", "Tm"], "fractional_positions": [[0.0000, 0.0000, 0.1556], [0.0000, 0.0000, 0.8444], [0.3333, 0.6667, 0.0000], [0.3333, 0.6667, 0.5000], [0.6667, 0.3333, 0.0000], [0.6667, 0.3333, 0.5000], [0.0000, 0.0000, 0.5000], [0.0000, 0.5000, 0.2534], [0.0000, 0.5000, 0.7466], [0.5000, 0.0000, 0.2534], [0.5000, 0.0000, 0.7466], [0.5000, 0.5000, 0.2534], [0.5000, 0.5000, 0.7466]], "delta_e_f_mev_per_atom": 240, "spacegroup": "P6/mmm, No. 191"}



(5)
{"formula": "AcHgSbPd", "functional": "PBE", "state": "optimized geometry", "lattice": [[0.0000, 3.7289, 3.7289], [3.7289, 0.0000, 3.7289], [3.7289, 3.7289, 0.0000]], "species": ["Ac", "Hg", "Sb", "Pd"], "fractional_positions": [[0.0000, 0.0000, 0.0000], [0.7500, 0.7500, 0.7500], [0.5000, 0.5000, 0.5000], [0.2500, 0.2500, 0.2500]], "e_form_raw_ev_per_fu": -2.333, "spacegroup": "F-43m, No. 216"}



(6)
{"formula": "LiNdAlPd", "functional": "PBE", "state": "optimized geometry", "lattice": [[0.0000, 3.3864, 3.3864], [3.3864, 0.0000, 3.3864], [3.3864, 3.3864, 0.0000]], "species": ["Li", "Nd", "Al", "Pd"], "fractional_positions": [[0.0000, 0.0000, 0.0000], [0.2500, 0.2500, 0.2500], [0.7500, 0.7500, 0.7500], [0.5000, 0.5000, 0.5000]], "delta_e_f_mev_per_atom": -497, "spacegroup": "F-43m, No. 216"}



> What is the formula in the third record?

HoHgPb6



Copy entry 3 word for word.
{"formula": "HoHgPb6", "functional": "PBE", "state": "optimized geometry", "lattice": [[4.7644, -4.7699, 0.0000], [4.7644, 4.7699, 0.0000], [0.0000, 0.0000, 5.2184]], "species": ["Ho", "Hg", "Pb", "Pb", "Pb", "Pb", "Pb", "Pb"], "fractional_positions": [[0.0000, 0.0000, 0.0000], [0.5000, 0.5000, 0.0000], [0.0000, 0.5000, 0.0000], [0.2502, 0.7498, 0.5000], [0.2515, 0.2515, 0.5000], [0.5000, 0.0000, 0.0000], [0.7485, 0.7485, 0.5000], [0.7498, 0.2502, 0.5000]], "delta_e_f_mev_per_atom": -87, "spacegroup": "Cmmm, No. 65"}